Entry 1:
# YPuTa PBE-GGA relaxed
# Calculated total energy, eV per cell: -63.24
# Formation enthalpy at 0 K, eV/atom: 0.343
# ρ, g cm⁻³: 11.44
# Space group: No. 166
data_YPuTa
_cell_length_a 3.322
_cell_length_b 3.322
_cell_length_c 15.729
_cell_angle_alpha 83.94
_cell_angle_beta 83.94
_cell_angle_gamma 60.00
_space_group_name_H-M_alt 'P 1'
_space_group_IT_number 1
loop_
_space_group_symop_operation_xyz
'x,y,z'
loop_
_atom_site_label
_atom_site_type_symbol
_atom_site_fract_x
_atom_site_fract_y
_atom_site_fract_z
Ta1 Ta 0.812 0.812 0.565
Pu1 Pu 0.906 0.906 0.282
Y1 Y 0.365 0.365 0.905
Ta2 Ta 0.188 0.188 0.435
Pu2 Pu 0.094 0.094 0.718
Y2 Y 0.635 0.635 0.095

Entry 2:
# PuTaZn PBE-GGA relaxed
# Calculated total energy, eV per cell: -27.10
# Formation enthalpy at 0 K, eV/atom: 0.120
# ρ, g cm⁻³: 14.18
# Space group: No. 107
data_PuTaZn
_cell_length_a 2.891
_cell_length_b 2.891
_cell_length_c 7.172
_cell_angle_alpha 101.62
_cell_angle_beta 101.62
_cell_angle_gamma 90.00
_space_group_name_H-M_alt 'P 1'
_space_group_IT_number 1
loop_
_space_group_symop_operation_xyz
'x,y,z'
loop_
_atom_site_label
_atom_site_type_symbol
_atom_site_fract_x
_atom_site_fract_y
_atom_site_fract_z
Ta1 Ta 0.654 0.654 0.309
Pu1 Pu 0.336 0.336 0.672
Zn1 Zn 0.010 0.010 0.020

Entry 3:
# PuTaZn2 PBE-GGA relaxed
# Calculated total energy, eV per cell: -27.35
# Formation enthalpy at 0 K, eV/atom: 0.345
# ρ, g cm⁻³: 11.95
# Space group: No. 166
data_PuTaZn2
_cell_length_a 2.868
_cell_length_b 2.868
_cell_length_c 10.966
_cell_angle_alpha 82.49
_cell_angle_beta 82.49
_cell_angle_gamma 60.00
_space_group_name_H-M_alt 'P 1'
_space_group_IT_number 1
loop_
_space_group_symop_operation_xyz
'x,y,z'
loop_
_atom_site_label
_atom_site_type_symbol
_atom_site_fract_x
_atom_site_fract_y
_atom_site_fract_z
Zn1 Zn 0.093 0.093 0.720
Ta1 Ta 0.500 0.500 0.500
Zn2 Zn 0.907 0.907 0.280
Pu1 Pu 0.000 0.000 0.000